This record from Alexandria via LeMat-Bulk describes NpGe2Os after structural relaxation. The functional is PBE.

## Properties
Theoretical density: 13.4 g/cm³
E: -8.21 eV/atom
E_form: 137 meV/atom
Density of states at the Fermi level: 11.43 states/eV/f.u.

Lattice parameters (Å, degrees): 4.7466 4.7466 10.9159 90.00 90.00 120.00
Space group R-3m (No. 166, hexagonal axes)
Inequivalent atoms, fractional coordinates:
Np  0.0000  0.0000  0.0000
Ge  0.0000  0.0000  0.2573
Os  0.0000  0.0000  0.5000

***

This record from Alexandria via LeMat-Bulk describes Mo3Cl after structural relaxation. The functional is PBE.

## Properties
Theoretical density: 8.8 g/cm³
E: -7.99 eV/atom
Formation energy from raw total energies: 598 meV/atom
ΔE to the lowest computed polymorph: 0.345 eV/atom
Density of states at the Fermi level: 3.89 states/eV/f.u.

Lattice parameters (Å, degrees): 2.923 4.535 9.183 90.00 90.00 90.00
Space group Immm (No. 71)
Inequivalent atoms, fractional coordinates:
Mo  0.000  0.000  0.000
Mo  0.000  0.500  0.225
Cl  0.000  0.000  0.500

***

This record from Alexandria via LeMat-Bulk describes NaScCd6 after structural relaxation. The functional is PBE.

## Properties
Theoretical density: 6.8 g/cm³
E: -1.77 eV/atom
E_form: -129 meV/atom
ΔE to the lowest computed polymorph: 0.022 eV/atom
Density of states at the Fermi level: 4.00 states/eV/f.u.

Lattice parameters (Å, degrees): 4.465 4.465 9.115 90.00 90.00 90.00
Space group P4/mmm (No. 123)
Inequivalent atoms, fractional coordinates:
Na  0.000  0.000  0.000
Sc  0.000  0.000  0.500
Cd  0.000  0.500  0.255
Cd  0.500  0.500  0.000
Cd  0.500  0.500  0.500

***

This record from Alexandria via LeMat-Bulk describes CrCoIr2 after structural relaxation. The functional is PBE.

## Properties
Theoretical density: 15.9 g/cm³
E: -8.69 eV/atom
E_form: -81 meV/atom
Density of states at the Fermi level: 4.41 states/eV/f.u.

Lattice parameters (Å, degrees): 5.329 7.254 2.679 90.00 90.00 90.00
Space group Cmmm (No. 65)
Inequivalent atoms, fractional coordinates:
Cr  0.000  0.000  0.000
Co  0.000  0.500  0.000
Ir  0.250  0.250  0.500

***

This record from Alexandria via LeMat-Bulk describes AcLaEuSc after structural relaxation. The functional is PBE.

## Properties
Theoretical density: 6.5 g/cm³
E: -6.28 eV/atom
E_form: 127 meV/atom
Density of states at the Fermi level: 6.07 states/eV/f.u.

Lattice parameters (Å, degrees): 8.330 8.330 8.330 90.00 90.00 90.00
Space group F-43m (No. 216)
Inequivalent atoms, fractional coordinates:
Ac  0.000  0.000  0.000
La  0.000  0.000  0.500
Eu  0.250  0.250  0.750
Sc  0.250  0.250  0.250

***

This record from Alexandria via LeMat-Bulk describes Cu2AgAuI6 after structural relaxation. The functional is PBE.

## Properties
Theoretical density: 6.0 g/cm³
E: -2.45 eV/atom
Formation energy from raw total energies: -93 meV/atom
Density of states at the Fermi level: 8.31 states/eV/f.u.

Lattice parameters (Å, degrees): 14.047 13.430 7.279 90.00 104.69 90.00
Space group C2/c (No. 15)
Inequivalent atoms, fractional coordinates:
Cu  0.184  0.083  0.296
Ag  0.000  0.425  0.250
Au  0.000  0.222  0.750
I  0.119  0.241  0.104
I  0.122  0.407  0.627
I  0.141  0.085  0.622

***

This record from Alexandria via LeMat-Bulk describes CaY after structural relaxation. The functional is PBE.

## Properties
Theoretical density: 2.9 g/cm³
E: -4.13 eV/atom
E_form: 105 meV/atom
ΔE to the lowest computed polymorph: 0.057 eV/atom
Density of states at the Fermi level: 3.23 states/eV/f.u.

Lattice parameters (Å, degrees): 13.962 3.699 8.749 90.00 104.67 90.00
Space group Cm (No. 8)
Inequivalent atoms, fractional coordinates:
Ca  0.000  0.000  0.000
Ca  0.056  0.000  0.612
Ca  0.172  0.500  0.333
Y  0.235  0.500  0.942
Y  0.334  0.000  0.672
Y  0.382  0.000  0.273

***

This record from Alexandria via LeMat-Bulk describes InRuF2 after structural relaxation. The functional is PBE.

## Properties
Theoretical density: 6.3 g/cm³
E: -4.57 eV/atom
Formation energy from raw total energies: -633 meV/atom
ΔE to the lowest computed polymorph: 0.297 eV/atom
Density of states at the Fermi level: 4.76 states/eV/f.u.

Lattice parameters (Å, degrees): 7.073 7.073 5.343 90.00 90.00 90.00
Space group I-42d (No. 122)
Inequivalent atoms, fractional coordinates:
In  0.000  0.000  0.000
Ru  0.000  0.000  0.500
F  0.151  0.250  0.625

***

This record from Alexandria via LeMat-Bulk describes TmZrSn2 after structural relaxation. The functional is PBE.

## Properties
Theoretical density: 8.5 g/cm³
E: -5.71 eV/atom
E_form: -451 meV/atom
ΔE to the lowest computed polymorph: 0.001 eV/atom
Density of states at the Fermi level: 3.12 states/eV/f.u.

Lattice parameters (Å, degrees): 3.866 3.866 6.534 90.00 90.00 90.00
Space group P4/mmm (No. 123)
Inequivalent atoms, fractional coordinates:
Tm  0.000  0.000  0.000
Zr  0.000  0.000  0.500
Sn  0.500  0.500  0.268

***

This record from Alexandria via LeMat-Bulk describes BeAu3 after structural relaxation. The functional is PBE.

## Properties
Theoretical density: 15.7 g/cm³
E: -3.47 eV/atom
E_form: -79 meV/atom
Density of states at the Fermi level: 0.73 states/eV/f.u.

Lattice parameters (Å, degrees): 3.044 4.454 9.383 90.00 90.00 90.00
Space group Immm (No. 71)
Inequivalent atoms, fractional coordinates:
Be  0.000  0.000  0.000
Au  0.000  0.000  0.500
Au  0.000  0.500  0.305

***

This record from Alexandria via LeMat-Bulk describes YTa2Ir after structural relaxation. The functional is PBE.

## Properties
Theoretical density: 12.2 g/cm³
E: -9.56 eV/atom
E_form: 193 meV/atom
ΔE to the lowest computed polymorph: 0.376 eV/atom
Density of states at the Fermi level: 4.45 states/eV/f.u.

Lattice parameters (Å, degrees): 7.860 7.860 5.647 90.00 90.00 90.00
Space group I-42d (No. 122)
Inequivalent atoms, fractional coordinates:
Y  0.000  0.000  0.000
Ta  0.191  0.250  0.625
Ir  0.000  0.000  0.500

***

This record from Alexandria via LeMat-Bulk describes PrZn2Ag6 after structural relaxation. The functional is PBE.

## Properties
Theoretical density: 7.2 g/cm³
E: -2.49 eV/atom
E_form: 223 meV/atom
Density of states at the Fermi level: 4.02 states/eV/f.u.

Lattice parameters (Å, degrees): 11.941 11.941 11.941 90.00 90.00 90.00
Space group Fd-3m (No. 227, origin choice 2)
Inequivalent atoms, fractional coordinates:
Pr  0.125  0.125  0.125
Zn  0.000  0.000  0.500
Ag  0.122  0.375  0.875

***

This record from Alexandria via LeMat-Bulk describes Na4SeI2 after structural relaxation. The functional is PBE.

## Properties
Theoretical density: 2.8 g/cm³
E: -2.80 eV/atom
Formation energy from raw total energies: -1106 meV/atom
ΔE to the lowest computed polymorph: 0.000 eV/atom
Density of states at the Fermi level: 0.00 states/eV/f.u.

Lattice parameters (Å, degrees): 5.472 5.472 16.544 90.00 90.00 90.00
Space group I4/mmm (No. 139)
Inequivalent atoms, fractional coordinates:
Na  0.000  0.000  0.168
Na  0.000  0.500  0.000
Se  0.000  0.000  0.000
I  0.000  0.000  0.352

***

This record from Alexandria via LeMat-Bulk describes CuRuO4 after structural relaxation. The functional is PBE.

## Properties
Theoretical density: 6.0 g/cm³
E: -6.22 eV/atom
Formation energy from raw total energies: -687 meV/atom
Density of states at the Fermi level: 4.97 states/eV/f.u.

Lattice parameters (Å, degrees): 5.425 4.451 5.584 90.00 110.62 90.00
Space group P2_1/c (No. 14)
Inequivalent atoms, fractional coordinates:
Cu  0.000  0.000  0.000
Ru  0.500  0.000  0.500
O  0.174  0.205  0.372
O  0.347  0.726  0.677

***

This record from Alexandria via LeMat-Bulk describes SmTmNp2P4 after structural relaxation. The functional is PBE.

## Properties
Theoretical density: 8.5 g/cm³
E: -8.31 eV/atom
E_form: -1219 meV/atom
Density of states at the Fermi level: 17.13 states/eV/f.u.

Lattice parameters (Å, degrees): 6.908 3.987 6.910 90.00 109.45 90.00
Space group P2/m (No. 10)
Inequivalent atoms, fractional coordinates:
Sm  0.000  0.000  0.000
Tm  0.500  0.500  0.000
Np  0.000  0.500  0.500
Np  0.500  0.000  0.500
P  0.253  0.000  0.744
P  0.258  0.500  0.260

***

This record from Alexandria via LeMat-Bulk describes Tm2Al3Fe after structural relaxation. The functional is PBE.

## Properties
Theoretical density: 7.1 g/cm³
E: -5.19 eV/atom
E_form: -418 meV/atom
Density of states at the Fermi level: 4.60 states/eV/f.u.

Lattice parameters (Å, degrees): 5.4692 5.4692 12.9359 90.00 90.00 120.00
Space group R-3m (No. 166, hexagonal axes)
Inequivalent atoms, fractional coordinates:
Tm  0.0000  0.0000  0.1264
Al  0.0000  0.5000  0.0000
Fe  0.0000  0.0000  0.5000

***

This record from Alexandria via LeMat-Bulk describes Pm3Sm5N8 after structural relaxation. The functional is PBE.

## Properties
Theoretical density: 8.2 g/cm³
E: -7.99 eV/atom
Formation energy from raw total energies: -1464 meV/atom
Density of states at the Fermi level: 2.41 states/eV/f.u.

Lattice parameters (Å, degrees): 7.1973 7.1973 17.6299 90.00 90.00 120.00
Space group R-3m (No. 166, hexagonal axes)
Inequivalent atoms, fractional coordinates:
Pm  0.0000  0.5000  0.0000
Sm  0.0000  0.0000  0.0000
Sm  0.0000  0.0000  0.5000
Sm  0.0000  0.5000  0.5000
N  0.0000  0.0000  0.2495
N  0.0007  0.5003  0.7503

***

This record from Alexandria via LeMat-Bulk describes Pb3Se after structural relaxation. The functional is PBE.

## Properties
Theoretical density: 9.9 g/cm³
E: -3.73 eV/atom
Formation energy from raw total energies: -79 meV/atom
Density of states at the Fermi level: 1.44 states/eV/f.u.

Lattice parameters (Å, degrees): 6.872 8.791 3.882 90.00 90.00 90.00
Space group Cmmm (No. 65)
Inequivalent atoms, fractional coordinates:
Pb  0.000  0.000  0.000
Pb  0.250  0.250  0.500
Se  0.000  0.500  0.000

***

This record from Alexandria via LeMat-Bulk describes Cd4HN2 after structural relaxation. The functional is PBE.

## Properties
Theoretical density: 7.4 g/cm³
E: -2.56 eV/atom
Density of states at the Fermi level: 1.65 states/eV/f.u.

Lattice parameters (Å, degrees): 4.229 4.229 12.077 90.00 90.00 90.00
Space group I4/mmm (No. 139)
Inequivalent atoms, fractional coordinates:
Cd  0.000  0.000  0.200
Cd  0.000  0.500  0.000
H  0.000  0.000  0.000
N  0.000  0.000  0.382

***

This record from Alexandria via LeMat-Bulk describes BaHfCr2Cl after structural relaxation. The functional is PBE.

## Properties
Theoretical density: 5.9 g/cm³
E: -5.71 eV/atom
Formation energy from raw total energies: 882 meV/atom
Density of states at the Fermi level: 4.87 states/eV/f.u.

Lattice parameters (Å, degrees): 4.757 4.757 5.626 90.00 90.00 90.00
Space group P4/mmm (No. 123)
Inequivalent atoms, fractional coordinates:
Ba  0.000  0.000  0.000
Hf  0.500  0.500  0.000
Cr  0.000  0.500  0.500
Cl  0.000  0.000  0.500

***

This record from Alexandria via LeMat-Bulk describes Sc2AlIr after structural relaxation. The functional is PBE.

## Properties
Theoretical density: 7.1 g/cm³
E: -7.07 eV/atom
E_form: -752 meV/atom
ΔE to the lowest computed polymorph: 0.000 eV/atom
Density of states at the Fermi level: 2.59 states/eV/f.u.

Lattice parameters (Å, degrees): 3.346 3.346 6.465 90.00 90.00 90.00
Space group P4/mmm (No. 123)
Inequivalent atoms, fractional coordinates:
Sc  0.000  0.000  0.234
Al  0.500  0.500  0.500
Ir  0.500  0.500  0.000

***

This record from Alexandria via LeMat-Bulk describes GdDy2Rh after structural relaxation. The functional is PBE.

## Properties
Theoretical density: 8.4 g/cm³
E: -7.99 eV/atom
E_form: -335 meV/atom
ΔE to the lowest computed polymorph: 0.071 eV/atom
Density of states at the Fermi level: 5.62 states/eV/f.u.

Lattice parameters (Å, degrees): 3.7880 3.7880 28.0671 90.00 90.00 120.00
Space group R-3m (No. 166, hexagonal axes)
Inequivalent atoms, fractional coordinates:
Gd  0.0000  0.0000  0.0000
Dy  0.0000  0.0000  0.2261
Rh  0.0000  0.0000  0.5000

***

This record from Alexandria via LeMat-Bulk describes SrTaPb2 after structural relaxation. The functional is PBE.

## Properties
Theoretical density: 10.1 g/cm³
E: -4.72 eV/atom
E_form: 516 meV/atom
Density of states at the Fermi level: 4.22 states/eV/f.u.

Lattice parameters (Å, degrees): 3.230 3.230 10.813 90.00 90.00 90.00
Space group P4mm (No. 99)
Inequivalent atoms, fractional coordinates:
Sr  0.000  0.000  0.000
Ta  0.500  0.500  0.243
Pb  0.000  0.000  0.449
Pb  0.500  0.500  0.732

***

This record from Alexandria via LeMat-Bulk describes Sr6Hg2PtAu after structural relaxation. The functional is PBE.

## Properties
Theoretical density: 5.8 g/cm³
E: -2.58 eV/atom
E_form: -581 meV/atom
Density of states at the Fermi level: 5.71 states/eV/f.u.

Lattice parameters (Å, degrees): 7.607 8.611 13.709 90.00 123.30 90.00
Space group P2_1/c (No. 14)
Inequivalent atoms, fractional coordinates:
Sr  0.105  0.035  0.244
Sr  0.224  0.690  0.063
Sr  0.390  0.176  0.063
Hg  0.304  0.111  0.749
Pt  0.000  0.000  0.000
Au  0.500  0.000  0.500

***

This record from Alexandria via LeMat-Bulk describes LaReSb2 after structural relaxation. The functional is PBE.

## Properties
Theoretical density: 9.2 g/cm³
E: -6.35 eV/atom
Formation energy from raw total energies: 59 meV/atom
ΔE to the lowest computed polymorph: 0.323 eV/atom
Density of states at the Fermi level: 3.37 states/eV/f.u.

Lattice parameters (Å, degrees): 3.379 3.379 8.989 90.00 90.00 90.00
Space group P4mm (No. 99)
Inequivalent atoms, fractional coordinates:
La  0.000  0.000  0.000
Re  0.500  0.500  0.229
Sb  0.000  0.000  0.382
Sb  0.500  0.500  0.702